Record 1
VASP calculation (PBE) on crystalline Y2Mn2Al at its relaxed geometry.

* DFT formation energy: -0.033 eV per atom
* density: 5.29 Mg/m³

a = 6.7438 Å, b = 6.7438 Å, c = 4.3449 Å
α = 90.00°, β = 90.00°, γ = 90.00°
Closest atoms and distances in Å follow each position.
Fractional positions:
1 Y 0.1841 0.3159 0.0000  6 Mn 2.92-2.99
2 Y 0.3159 0.8159 0.0000  6 Mn 2.92-2.99
3 Y 0.6841 0.1841 0.0000  6 Mn 2.92-2.99
4 Y 0.8159 0.6841 0.0000  6 Mn 2.92-2.99
5 Mn 0.1106 0.6106 0.5000  1 Mn 2.11
6 Mn 0.3894 0.1106 0.5000  1 Mn 2.11
7 Mn 0.6106 0.8894 0.5000  1 Mn 2.11
8 Mn 0.8894 0.3894 0.5000  1 Mn 2.11
9 Al 0.0000 0.0000 0.5000  4 Mn 2.73
10 Al 0.5000 0.5000 0.5000  4 Mn 2.73



Record 2
VASP calculation (PBE) on crystalline YMnAl4 at its relaxed geometry.

* DFT formation energy: -0.137 eV per atom
* density: 3.79 Mg/m³

a = 5.3844 Å, b = 5.3844 Å, c = 5.3844 Å
α = 60.00°, β = 60.00°, γ = 60.00°
Closest atoms and distances in Å follow each position.
Fractional positions:
1 Y 0.0000 0.0000 0.0000  12 Al 3.16, 4 Mn 3.30
2 Mn 0.2500 0.2500 0.2500  12 Al 3.16, 4 Y 3.30
3 Al 0.1249 0.6250 0.6250  6 Al 2.69
4 Al 0.6250 0.1249 0.6250  6 Al 2.69
5 Al 0.6250 0.6250 0.1249  6 Al 2.69
6 Al 0.6250 0.6250 0.6250  6 Al 2.69



Record 3
VASP calculation (PBE) on crystalline Yb6Mn4Al43 at its relaxed geometry.

* DFT formation energy: -0.257 eV per atom
* density: 4.46 Mg/m³

a = 10.8814 Å, b = 10.8814 Å, c = 17.5566 Å
α = 90.00°, β = 90.00°, γ = 120.00°
Closest atoms and distances in Å follow each position.
Fractional positions:
1 Yb 0.0000 0.4675 0.0944  14 Al 3.05-3.36, 1 Yb 3.39
2 Yb 0.0000 0.4675 0.4056  14 Al 3.05-3.36, 1 Yb 3.39
3 Yb 0.0000 0.5325 0.5944  14 Al 3.05-3.36, 1 Yb 3.39
4 Yb 0.0000 0.5325 0.9056  14 Al 3.05-3.36, 1 Yb 3.39
5 Yb 0.4675 0.0000 0.0944  14 Al 3.05-3.36, 1 Yb 3.39
6 Yb 0.4675 0.0000 0.4056  14 Al 3.05-3.36, 1 Yb 3.39
7 Yb 0.4675 0.4675 0.5944  14 Al 3.05-3.36, 1 Yb 3.39
8 Yb 0.4675 0.4675 0.9056  14 Al 3.05-3.36, 1 Yb 3.39
9 Yb 0.5325 0.0000 0.5944  14 Al 3.05-3.36, 1 Yb 3.39
10 Yb 0.5325 0.0000 0.9056  14 Al 3.05-3.36, 1 Yb 3.39
11 Yb 0.5325 0.5325 0.0944  14 Al 3.05-3.36, 1 Yb 3.39
12 Yb 0.5325 0.5325 0.4056  14 Al 3.05-3.36, 1 Yb 3.39
13 Mn 0.0000 0.0000 0.0000  12 Al 2.64-2.77
14 Mn 0.0000 0.0000 0.5000  12 Al 2.64-2.77
15 Mn 0.0000 0.2668 0.2500  10 Al 2.52-2.65
16 Mn 0.0000 0.7332 0.7500  10 Al 2.52-2.65
17 Mn 0.2668 0.0000 0.2500  10 Al 2.52-2.65
18 Mn 0.2668 0.2668 0.7500  10 Al 2.52-2.65
19 Mn 0.7332 0.0000 0.7500  10 Al 2.52-2.65
20 Mn 0.7332 0.7332 0.2500  10 Al 2.52-2.65
21 Al 0.0000 0.1444 0.7500  2 Mn 2.52, 6 Al 2.72-2.77
22 Al 0.0000 0.1547 0.1160  2 Mn 2.64-2.65, 9 Al 2.69-2.92
23 Al 0.0000 0.1547 0.3840  2 Mn 2.64-2.65, 9 Al 2.69-2.92
24 Al 0.0000 0.2492 0.5314  9 Al 2.73-2.93, 1 Mn 2.77
25 Al 0.0000 0.2492 0.9686  9 Al 2.73-2.93, 1 Mn 2.77
26 Al 0.0000 0.7508 0.0314  9 Al 2.73-2.93, 1 Mn 2.77
27 Al 0.0000 0.7508 0.4686  9 Al 2.73-2.93, 1 Mn 2.77
28 Al 0.0000 0.8453 0.6160  2 Mn 2.64-2.65, 9 Al 2.69-2.92
29 Al 0.0000 0.8453 0.8840  2 Mn 2.64-2.65, 9 Al 2.69-2.92
30 Al 0.0000 0.8556 0.2500  2 Mn 2.52, 6 Al 2.72-2.77
31 Al 0.1444 0.0000 0.7500  2 Mn 2.52, 6 Al 2.72-2.77
32 Al 0.1444 0.1444 0.2500  2 Mn 2.52, 6 Al 2.72-2.77
33 Al 0.1452 0.5454 0.2500  1 Mn 2.63, 7 Al 2.74-2.81
34 Al 0.1452 0.5998 0.7500  1 Mn 2.63, 7 Al 2.74-2.81
35 Al 0.1547 0.0000 0.1160  2 Mn 2.64-2.65, 9 Al 2.69-2.92
36 Al 0.1547 0.0000 0.3840  2 Mn 2.64-2.65, 9 Al 2.69-2.92
37 Al 0.1547 0.1547 0.6160  2 Mn 2.64-2.65, 9 Al 2.69-2.92
38 Al 0.1547 0.1547 0.8840  2 Mn 2.64-2.65, 9 Al 2.69-2.92
39 Al 0.1563 0.3895 0.6660  1 Mn 2.65, 8 Al 2.69-2.95
40 Al 0.1563 0.3895 0.8340  1 Mn 2.65, 8 Al 2.69-2.95
41 Al 0.1563 0.7668 0.1660  1 Mn 2.65, 8 Al 2.69-2.95
42 Al 0.1563 0.7668 0.3340  1 Mn 2.65, 8 Al 2.69-2.95
43 Al 0.2332 0.3895 0.1660  1 Mn 2.65, 8 Al 2.69-2.95
44 Al 0.2332 0.3895 0.3340  1 Mn 2.65, 8 Al 2.69-2.95
45 Al 0.2332 0.8437 0.6660  1 Mn 2.65, 8 Al 2.69-2.95
46 Al 0.2332 0.8437 0.8340  1 Mn 2.65, 8 Al 2.69-2.95
47 Al 0.2466 0.4932 0.0000  6 Al 2.73-2.83, 2 Yb 3.05
48 Al 0.2466 0.4932 0.5000  6 Al 2.73-2.83, 2 Yb 3.05
49 Al 0.2466 0.7534 0.0000  6 Al 2.73-2.83, 2 Yb 3.05
50 Al 0.2466 0.7534 0.5000  6 Al 2.73-2.83, 2 Yb 3.05
51 Al 0.2492 0.0000 0.5314  9 Al 2.73-2.93, 1 Mn 2.77
52 Al 0.2492 0.0000 0.9686  9 Al 2.73-2.93, 1 Mn 2.77
53 Al 0.2492 0.2492 0.0314  9 Al 2.73-2.93, 1 Mn 2.77
54 Al 0.2492 0.2492 0.4686  9 Al 2.73-2.93, 1 Mn 2.77
55 Al 0.3333 0.6667 0.1271  9 Al 2.73-2.81
56 Al 0.3333 0.6667 0.3729  9 Al 2.73-2.81
57 Al 0.3333 0.6667 0.6271  9 Al 2.73-2.81
58 Al 0.3333 0.6667 0.8729  9 Al 2.73-2.81
59 Al 0.3895 0.1563 0.6660  1 Mn 2.65, 8 Al 2.69-2.95
60 Al 0.3895 0.1563 0.8340  1 Mn 2.65, 8 Al 2.69-2.95
61 Al 0.3895 0.2332 0.1660  1 Mn 2.65, 8 Al 2.69-2.95
62 Al 0.3895 0.2332 0.3340  1 Mn 2.65, 8 Al 2.69-2.95
63 Al 0.4002 0.5454 0.7500  1 Mn 2.63, 7 Al 2.74-2.81
64 Al 0.4002 0.8548 0.2500  1 Mn 2.63, 7 Al 2.74-2.81
65 Al 0.4546 0.5998 0.2500  1 Mn 2.63, 7 Al 2.74-2.81
66 Al 0.4546 0.8548 0.7500  1 Mn 2.63, 7 Al 2.74-2.81
67 Al 0.4932 0.2466 0.0000  6 Al 2.73-2.83, 2 Yb 3.05
68 Al 0.4932 0.2466 0.5000  6 Al 2.73-2.83, 2 Yb 3.05
69 Al 0.5068 0.7534 0.0000  6 Al 2.73-2.83, 2 Yb 3.05
70 Al 0.5068 0.7534 0.5000  6 Al 2.73-2.83, 2 Yb 3.05
71 Al 0.5454 0.1452 0.2500  1 Mn 2.63, 7 Al 2.74-2.81
72 Al 0.5454 0.4002 0.7500  1 Mn 2.63, 7 Al 2.74-2.81
73 Al 0.5998 0.1452 0.7500  1 Mn 2.63, 7 Al 2.74-2.81
74 Al 0.5998 0.4546 0.2500  1 Mn 2.63, 7 Al 2.74-2.81
75 Al 0.6105 0.7668 0.6660  1 Mn 2.65, 8 Al 2.69-2.95
76 Al 0.6105 0.7668 0.8340  1 Mn 2.65, 8 Al 2.69-2.95
77 Al 0.6105 0.8437 0.1660  1 Mn 2.65, 8 Al 2.69-2.95
78 Al 0.6105 0.8437 0.3340  1 Mn 2.65, 8 Al 2.69-2.95
79 Al 0.6667 0.3333 0.1271  9 Al 2.73-2.81
80 Al 0.6667 0.3333 0.3729  9 Al 2.73-2.81
81 Al 0.6667 0.3333 0.6271  9 Al 2.73-2.81
82 Al 0.6667 0.3333 0.8729  9 Al 2.73-2.81
83 Al 0.7508 0.0000 0.0314  9 Al 2.73-2.93, 1 Mn 2.77
84 Al 0.7508 0.0000 0.4686  9 Al 2.73-2.93, 1 Mn 2.77
85 Al 0.7508 0.7508 0.5314  9 Al 2.73-2.93, 1 Mn 2.77
86 Al 0.7508 0.7508 0.9686  9 Al 2.73-2.93, 1 Mn 2.77
87 Al 0.7534 0.2466 0.0000  6 Al 2.73-2.83, 2 Yb 3.05
88 Al 0.7534 0.2466 0.5000  6 Al 2.73-2.83, 2 Yb 3.05
89 Al 0.7534 0.5068 0.0000  6 Al 2.73-2.83, 2 Yb 3.05
90 Al 0.7534 0.5068 0.5000  6 Al 2.73-2.83, 2 Yb 3.05
91 Al 0.7668 0.1563 0.1660  1 Mn 2.65, 8 Al 2.69-2.95
92 Al 0.7668 0.1563 0.3340  1 Mn 2.65, 8 Al 2.69-2.95
93 Al 0.7668 0.6105 0.6660  1 Mn 2.65, 8 Al 2.69-2.95
94 Al 0.7668 0.6105 0.8340  1 Mn 2.65, 8 Al 2.69-2.95
95 Al 0.8437 0.2332 0.6660  1 Mn 2.65, 8 Al 2.69-2.95
96 Al 0.8437 0.2332 0.8340  1 Mn 2.65, 8 Al 2.69-2.95
97 Al 0.8437 0.6105 0.1660  1 Mn 2.65, 8 Al 2.69-2.95
98 Al 0.8437 0.6105 0.3340  1 Mn 2.65, 8 Al 2.69-2.95
99 Al 0.8453 0.0000 0.6160  2 Mn 2.64-2.65, 9 Al 2.69-2.92
100 Al 0.8453 0.0000 0.8840  2 Mn 2.64-2.65, 9 Al 2.69-2.92
101 Al 0.8453 0.8453 0.1160  2 Mn 2.64-2.65, 9 Al 2.69-2.92
102 Al 0.8453 0.8453 0.3840  2 Mn 2.64-2.65, 9 Al 2.69-2.92
103 Al 0.8548 0.4002 0.2500  1 Mn 2.63, 7 Al 2.74-2.81
104 Al 0.8548 0.4546 0.7500  1 Mn 2.63, 7 Al 2.74-2.81
105 Al 0.8556 0.0000 0.2500  2 Mn 2.52, 6 Al 2.72-2.77
106 Al 0.8556 0.8556 0.7500  2 Mn 2.52, 6 Al 2.72-2.77